(1)
DFT (GGA-PBE) results for crystalline CaAl2Ag2 at its relaxed geometry.

Computed properties:
As for the mass density: 4.72 Mg/m³. As for the crystal system: triclinic.

Cell: 5.5215 6.1073 7.7326 Å, 81.03 69.22 63.48°
Closest atoms and distances in Å follow each position.
Sites, in units of the cell vectors:
Ca  0.1239  0.2492  0.2521  4 Ag 3.12-3.14, 2 Al 3.26
Ca  0.8761  0.7508  0.7479  4 Ag 3.12-3.14, 2 Al 3.26
Al  0.1724  0.1538  0.7490  4 Ag 2.60-2.66
Al  0.4219  0.6524  0.2509  4 Ag 2.60-2.65
Al  0.5781  0.3476  0.7491  4 Ag 2.60-2.65
Al  0.8276  0.8462  0.2510  4 Ag 2.60-2.66
Ag  0.2733  0.7514  0.9541  4 Al 2.60-2.66
Ag  0.4772  0.7498  0.5462  4 Al 2.60-2.65
Ag  0.5228  0.2502  0.4538  4 Al 2.60-2.65
Ag  0.7267  0.2486  0.0459  4 Al 2.60-2.66

***

(2)
DFT (GGA-PBE) results for crystalline CaAl4Ag at its relaxed geometry.

Computed properties:
As for the mass density: 3.56 Mg/m³. As for the crystal system: cubic.

Cell: 5.5285 5.5285 5.5285 Å, 60.00 60.00 60.00°
Closest atoms and distances in Å follow each position.
Sites, in units of the cell vectors:
Ca  0.0000  0.0000  0.0000  12 Al 3.24, 4 Ag 3.39
Al  0.3745  0.3745  0.3745  6 Al 2.75-2.78
Al  0.3745  0.3745  0.8765  6 Al 2.75-2.78
Al  0.3745  0.8765  0.3745  6 Al 2.75-2.78
Al  0.8765  0.3745  0.3745  6 Al 2.75-2.78
Ag  0.7500  0.7500  0.7500  12 Al 3.24, 4 Ca 3.39

***

(3)
DFT (GGA-PBE) results for crystalline CaAl2Ag at its relaxed geometry.

Computed properties:
As for the mass density: 3.77 Mg/m³. As for the crystal system: orthorhombic.

Cell: 3.4524 4.6486 5.5458 Å, 90.00 90.00 90.00°
Closest atoms and distances in Å follow each position.
Sites, in units of the cell vectors:
Ca  0.0000  0.0000  0.0000  4 Ag 3.20, 8 Al 3.23-3.28, 2 Ca 3.45
Al  0.5000  0.0000  0.4981  2 Al 2.68, 2 Ag 2.73
Al  0.5000  0.5000  0.2581  2 Al 2.68, 2 Ag 2.76-2.78
Ag  0.5000  0.5000  0.7561  4 Al 2.73-2.78

***

(4)
DFT (GGA-PBE) results for crystalline CaAl6Ag4 at its relaxed geometry.

Computed properties:
As for the mass density: 4.74 Mg/m³. As for the crystal system: tetragonal.

Cell: 6.8253 6.8253 6.8253 Å, 120.78 120.78 88.65°
Closest atoms and distances in Å follow each position.
Sites, in units of the cell vectors:
Ca  0.0000  0.0000  0.0000  4 Ag 3.27, 12 Al 3.37-3.62
Al  0.0000  0.5000  0.5000  4 Ag 2.66
Al  0.1108  0.5156  0.0000  4 Ag 2.48-2.74
Al  0.4844  0.4844  0.5952  4 Ag 2.48-2.74
Al  0.5000  0.0000  0.5000  4 Ag 2.66
Al  0.5156  0.1108  0.0000  4 Ag 2.48-2.74
Al  0.8892  0.8892  0.4048  4 Ag 2.48-2.74
Ag  0.2379  0.2379  0.6590  6 Al 2.48-2.74
Ag  0.4211  0.7621  0.0000  6 Al 2.48-2.74
Ag  0.5789  0.5789  0.3410  6 Al 2.48-2.74
Ag  0.7621  0.4211  0.0000  6 Al 2.48-2.74

***

Number 1: spin magnetization 0.000 Bohr magnetons per cell, E_form -0.178 eV per atom. Number 2: spin magnetization 0.000 Bohr magnetons per cell, E_form -0.048 eV per atom. Number 3: spin magnetization 0.000 Bohr magnetons per cell, E_form -0.120 eV per atom. Number 4: spin magnetization 0.000 Bohr magnetons per cell, E_form -0.010 eV per atom.